[1]
DFT (PBE) results for a geometry-optimized NdHo5Tm2Sc structure.

Cell and atoms, written as POSCAR:
```
NdHo5Tm2Sc
1.0
5.530 0.000 0.000
-2.765 9.822 0.000
0.000 0.000 10.323
Nd Ho Tm Sc
2 10 4 2
Direct
0.587 0.174 0.952
0.413 0.826 0.452
0.378 0.755 0.021
0.723 0.447 0.821
0.480 0.961 0.739
0.298 0.597 0.706
0.982 0.964 0.520
0.622 0.245 0.521
0.277 0.553 0.321
0.520 0.039 0.239
0.702 0.403 0.206
0.018 0.036 0.020
0.888 0.777 0.814
0.114 0.228 0.736
0.112 0.223 0.314
0.886 0.772 0.236
0.804 0.608 0.515
0.196 0.392 0.015
```

Results
- raw total energy (eV/atom) = -4.59



[2]
DFT (PBE) results for a geometry-optimized Nd2Ho2TmSc structure.

Cell and atoms, written as POSCAR:
```
Nd2Ho2TmSc
1.0
-3.345 -4.290 1.239
3.266 -3.881 -4.622
6.225 -2.884 6.821
Nd Ho Tm Sc
4 4 2 2
Direct
0.500 0.007 0.000
0.000 0.258 0.185
0.500 0.507 0.000
0.000 0.758 0.815
0.000 0.258 0.834
0.500 0.258 0.334
0.000 0.758 0.166
0.500 0.758 0.666
0.500 0.258 0.654
0.500 0.758 0.346
0.000 0.008 0.500
0.000 0.508 0.500
```

Results
- raw total energy (eV/atom) = -4.82



[3]
DFT (PBE) results for a geometry-optimized Nd2HoTm2Sc2 structure.

Cell and atoms, written as POSCAR:
```
Nd2HoTm2Sc2
1.0
3.421 0.000 0.000
-1.711 5.493 1.484
0.000 0.714 11.516
Nd Ho Tm Sc
2 1 2 2
Direct
0.673 0.346 0.910
0.327 0.654 0.090
0.000 0.000 0.500
0.455 0.910 0.766
0.545 0.090 0.234
0.771 0.542 0.370
0.229 0.458 0.630
```

Results
- raw total energy (eV/atom) = -4.99



| no. | DFT formation energy (eV per atom) |
| --- | --- |
| 1 | 0.1769 |
| 2 | 0.0989 |
| 3 | 0.1083 |